Record 1
Tb2DyHo5Mg (PBE-GGA, relaxed); crystal system = orthorhombic; electronic total energy = -4.16 eV per atom
1.0
-3.168 -3.997 -1.734
8.377 -0.379 -6.067
4.569 -6.534 6.716
Tb Dy Ho Mg
4 2 10 2
direct
0.885 0.771 0.797
0.115 0.230 0.721
0.115 0.229 0.297
0.885 0.770 0.221
0.794 0.588 0.508
0.206 0.412 0.008
0.383 0.766 0.009
0.711 0.422 0.808
0.500 0.999 0.758
0.290 0.580 0.709
0.986 0.972 0.509
0.617 0.234 0.509
0.289 0.578 0.308
0.500 0.001 0.258
0.710 0.420 0.209
0.014 0.028 0.009
0.595 0.190 0.007
0.405 0.810 0.507

Record 2
Tb2DyHo2Mg (PBE-GGA, relaxed); crystal system = orthorhombic; electronic total energy = -3.63 eV per atom
1.0
3.602 0.000 0.000
0.000 11.720 0.000
0.000 0.000 10.220
Tb Dy Ho Mg
4 2 4 2
direct
0.500 0.777 0.404
0.500 0.223 0.596
0.000 0.723 0.904
0.000 0.277 0.096
0.500 0.500 0.000
0.000 0.000 0.500
0.500 0.072 0.249
0.000 0.572 0.251
0.500 0.928 0.751
0.000 0.428 0.749
0.000 0.000 0.000
0.500 0.500 0.500

Record 3
TbDy6Ho2Mg (PBE-GGA, relaxed); crystal system = monoclinic; electronic total energy = -4.18 eV per atom
1.0
-4.507 -4.442 -1.776
5.511 -3.274 -8.785
-0.071 -4.988 9.664
Tb Dy Ho Mg
2 12 4 2
direct
0.250 0.991 0.009
0.750 0.009 0.991
0.033 0.082 0.792
0.467 0.208 0.918
0.967 0.918 0.208
0.533 0.792 0.082
0.280 0.915 0.435
0.220 0.565 0.085
0.720 0.085 0.565
0.780 0.435 0.915
0.021 0.697 0.528
0.479 0.472 0.303
0.979 0.303 0.472
0.521 0.528 0.697
0.504 0.821 0.654
0.996 0.346 0.179
0.496 0.179 0.346
0.004 0.654 0.821
0.250 0.294 0.706
0.750 0.706 0.294

Record 4
TbDyHoMg (PBE-GGA, relaxed); energy above the lowest structure with this stoichiometry = 0.000 eV per atom; crystal system = tetragonal; electronic total energy = -3.88 eV per atom
1.0
3.573 0.000 0.000
0.000 3.573 0.000
0.000 0.000 9.245
Tb Dy Ho Mg
1 1 1 1
direct
0.500 0.500 0.807
0.000 0.000 0.073
0.500 0.500 0.336
0.000 0.000 0.569

Record 5
Tb6Dy2HoMg (PBE-GGA, relaxed); crystal system = monoclinic; electronic total energy = -4.21 eV per atom
1.0
6.492 -0.744 -0.772
1.590 10.276 -3.366
1.590 -3.744 10.144
Tb Dy Ho Mg
12 4 2 2
direct
0.032 0.084 0.793
0.468 0.207 0.916
0.968 0.916 0.207
0.532 0.793 0.084
0.280 0.916 0.436
0.220 0.564 0.084
0.720 0.084 0.564
0.780 0.436 0.916
0.022 0.698 0.532
0.478 0.468 0.302
0.978 0.302 0.468
0.522 0.532 0.698
0.506 0.822 0.653
0.994 0.347 0.178
0.494 0.178 0.347
0.006 0.653 0.822
0.250 0.993 0.007
0.750 0.007 0.993
0.250 0.295 0.705
0.750 0.705 0.295

Record 6
Tb2DyHoMg (PBE-GGA, relaxed); crystal system = monoclinic; electronic total energy = -3.99 eV per atom
1.0
-0.222 4.127 -3.719
-4.132 2.875 3.438
4.400 5.694 6.057
Tb Dy Ho Mg
4 2 2 2
direct
0.750 0.752 0.798
0.250 0.248 0.202
0.250 0.022 0.604
0.750 0.978 0.396
0.750 0.357 0.607
0.250 0.643 0.393
0.250 0.829 0.003
0.750 0.171 0.997
0.750 0.578 0.199
0.250 0.422 0.801